# 1
This record from Alexandria describes NaMoF6 after structural relaxation. The functional is GGA-PBEsol.

Lattice parameters (Å, degrees): 5.8836 5.8836 5.8836 60.00 60.00 60.00
Positions (direct):
Na 0.5000 0.5000 0.5000
Mo 0.0000 0.0000 0.0000
F 0.7735 0.2265 0.7735
F 0.2265 0.7735 0.7735
F 0.7735 0.2265 0.2265
F 0.2265 0.2265 0.7735
F 0.7735 0.7735 0.2265
F 0.2265 0.7735 0.2265

The uncorrected formation energy is -2639 meV per atom. The space group is Fm-3m, No. 225.


# 2
This record from Alexandria describes Li2MgZn after structural relaxation. The functional is GGA-PBEsol.

Lattice parameters (Å, degrees): 4.1172 4.1172 4.9128 114.77 114.77 90.00
Positions (direct):
Zn 0.2500 0.7500 0.5000
Mg 0.5000 0.5000 0.0000
Li 0.0000 0.0000 0.0000
Li 0.7500 0.2500 0.5000

As for the energy relative to the elements: -0.103 eV/atom. The space group is I-4m2, No. 119.


What are the size of the total moment values for these records? In order: 1.0; 0.0 Bohr magnetons per cell.